Entry 1:
{
  "formula": "BaInSn2Hg",
  "functional": "GGA-PBE",
  "state": "relaxed",
  "lattice": [[-4.2972, -3.2619, 0.1507], [2.4600, -3.1020, 3.0032], [-1.1198, 6.0829, 3.0891]],
  "species": ["Sn", "Hg", "Sn", "Ba", "In"],
  "fractional_positions": [[0.6844, 0.1844, 0.3688], [0.8182, 0.8182, 0.6365], [0.0609, 0.0609, 0.1218], [0.4430, 0.4430, 0.8860], [0.2056, 0.7056, 0.4112]]
}

***

Entry 2:
{
  "formula": "Ba3In2SnHg6",
  "functional": "GGA-PBE",
  "state": "relaxed",
  "lattice": [[6.7232, 0.0000, 0.0000], [-3.3616, 5.8225, 0.0000], [0.0000, 0.0000, 10.0224]],
  "species": ["In", "In", "Hg", "Hg", "Hg", "Ba", "Ba", "Hg", "Hg", "Hg", "Sn", "Ba"],
  "fractional_positions": [[0.6667, 0.3333, 0.9922], [0.3333, 0.6667, 0.0078], [0.1785, 0.3570, 0.2707], [0.1785, 0.8215, 0.2707], [0.8215, 0.6430, 0.7293], [0.0000, 0.0000, 0.0000], [0.3333, 0.6667, 0.6195], [0.3570, 0.1785, 0.7293], [0.6430, 0.8215, 0.2707], [0.8215, 0.1785, 0.7293], [0.0000, 0.0000, 0.5000], [0.6667, 0.3333, 0.3805]]
}

***

Entry 3:
{
  "formula": "BaIn2SnHg",
  "functional": "GGA-PBE",
  "state": "relaxed",
  "lattice": [[6.7719, 0.0000, 0.0000], [0.0000, 6.1954, 0.0000], [0.0000, 0.0000, 6.7719]],
  "species": ["In", "Hg", "In", "Sn", "Ba"],
  "fractional_positions": [[0.5000, 0.0000, 0.0000], [0.5000, 0.5000, 0.5000], [0.0000, 0.0000, 0.5000], [0.0000, 0.5000, 0.0000], [0.0000, 0.0000, 0.0000]],
  "polymorph_energy_ev_per_atom": 1.1206
}

***

Entry 4:
{
  "formula": "BaSr2In2Hg2",
  "functional": "GGA-PBE",
  "state": "relaxed",
  "lattice": [[-2.4102, 0.1611, 4.5627], [-0.3793, -4.2738, 2.8713], [8.3328, 1.0371, 7.2859]],
  "species": ["Ba", "Sr", "Hg", "In", "Hg", "Sr", "In"],
  "fractional_positions": [[0.0000, 0.0000, 0.0000], [0.1264, 0.1264, 0.6207], [0.4050, 0.4050, 0.7851], [0.2552, 0.2552, 0.2344], [0.5950, 0.5950, 0.2149], [0.8736, 0.8736, 0.3793], [0.7448, 0.7448, 0.7656]]
}

***

Entry 5:
{
  "formula": "Ba5Sr2InHg2",
  "functional": "GGA-PBE",
  "state": "relaxed",
  "lattice": [[4.3900, 0.0000, 0.0000], [0.0000, 14.6013, 0.0000], [0.0000, 0.0000, 14.6013]],
  "species": ["Ba", "Ba", "Ba", "Ba", "Hg", "Ba", "Ba", "Sr", "In", "Ba", "Hg", "Sr", "Ba", "Ba", "In", "Sr", "Hg", "Hg", "Sr", "Ba"],
  "fractional_positions": [[0.5000, 0.0000, 0.5000], [0.5000, 0.1961, 0.0468], [0.5000, 0.5468, 0.6961], [0.5000, 0.8039, 0.9532], [0.0000, 0.3647, 0.1353], [0.5000, 0.4532, 0.3039], [0.5000, 0.9532, 0.1961], [0.0000, 0.3078, 0.8078], [0.0000, 0.5000, 0.5000], [0.5000, 0.5000, 0.0000], [0.0000, 0.8647, 0.3647], [0.0000, 0.1922, 0.3078], [0.5000, 0.3039, 0.5468], [0.5000, 0.6961, 0.4532], [0.0000, 0.0000, 0.0000], [0.0000, 0.8078, 0.6922], [0.0000, 0.6353, 0.8647], [0.0000, 0.1353, 0.6353], [0.0000, 0.6922, 0.1922], [0.5000, 0.0468, 0.8039]]
}

***

Entry 6:
{
  "formula": "Ba2SrInHg6",
  "functional": "GGA-PBE",
  "state": "relaxed",
  "lattice": [[-1.4552, 6.8955, 4.3377], [-6.1970, -3.7971, 3.9574], [-0.0870, -0.2556, 8.2710]],
  "species": ["Sr", "Hg", "Hg", "Ba", "Hg", "Hg", "Ba", "In", "Hg", "Hg"],
  "fractional_positions": [[0.5000, 0.5000, 0.0000], [0.7596, 0.7596, 0.4808], [0.2404, 0.2404, 0.5192], [0.7500, 0.2500, 0.5000], [0.2404, 0.2404, 0.0000], [0.2404, 0.7596, 0.0000], [0.2500, 0.7500, 0.5000], [0.0000, 0.0000, 0.0000], [0.7596, 0.7596, 0.0000], [0.7596, 0.2404, 0.0000]]
}

***

| no. | DFT total energy (eV per atom) | mass density (Mg/m³) | ΔE_f (eV/atom) |
| --- | --- | --- | --- |
| 1 | -2.963 | 7.3 | -0.37 |
| 2 | -1.735 | 8.3 | -0.31 |
| 3 | -1.602 | 4.0 | 0.74 |
| 4 | -2.034 | 6.3 | -0.41 |
| 5 | -1.935 | 4.9 | -0.30 |
| 6 | -1.156 | 7.0 | -0.15 |